[1]
! RbTePbN2, relaxed, DFT PBE; values from VASP
&SYSTEM
  ibrav = 0, nat = 5, ntyp = 4
/
ATOMIC_SPECIES
Pb 207.20 Pb.upf
Te 127.60 Te.upf
Rb 85.47 Rb.upf
N 14.01 N.upf
CELL_PARAMETERS angstrom
5.122 0.000 0.000
0.000 5.122 0.000
0.000 0.000 7.206
ATOMIC_POSITIONS crystal
Pb 0.500 0.500 0.500
Te 0.000 0.000 0.500
Rb 0.000 0.000 0.000
N 0.000 0.500 0.000
N 0.500 0.000 0.000
! Energy above the lowest structure with this stoichiometry = 0.631 eV per atom
! Symmetry = P4/mmm, No. 123
! ρ = 3.94 g/cm3

[2]
! LiDyPd6, relaxed, DFT PBE; values from VASP
&SYSTEM
  ibrav = 0, nat = 8, ntyp = 3
/
ATOMIC_SPECIES
Li 6.94 Li.upf
Dy 162.50 Dy.upf
Pd 106.42 Pd.upf
CELL_PARAMETERS angstrom
-2.830 4.534 -1.477
3.327 -1.535 -4.162
-3.553 -4.105 1.131
ATOMIC_POSITIONS crystal
Li 0.500 0.500 0.500
Dy 0.000 0.000 0.000
Pd 0.250 0.728 0.250
Pd 0.250 0.250 0.728
Pd 0.750 0.272 0.750
Pd 0.272 0.750 0.750
Pd 0.750 0.750 0.272
Pd 0.728 0.250 0.250
! Energy above the lowest structure with this stoichiometry = 0.194 eV per atom
! Symmetry = R-3m, No. 166
! ρ = 10.20 g/cm3
! ΔE_f = -0.356 eV per atom

[3]
! PmGa2CoIr, relaxed, DFT PBE; values from VASP
&SYSTEM
  ibrav = 0, nat = 5, ntyp = 4
/
ATOMIC_SPECIES
Pm 145.00 Pm.upf
Ga 69.72 Ga.upf
Co 58.93 Co.upf
Ir 192.22 Ir.upf
CELL_PARAMETERS angstrom
-2.421 1.902 -2.835
-2.212 -3.521 -0.474
-0.838 2.294 5.345
ATOMIC_POSITIONS crystal
Pm 0.000 0.000 0.000
Ga 0.627 0.627 0.255
Ga 0.373 0.373 0.745
Co 0.750 0.250 0.500
Ir 0.250 0.750 0.500
! Symmetry = I-4m2, No. 119
! ρ = 10.00 g/cm3
! ΔE_f = -0.548 eV per atom

[4]
! UPaB, relaxed, DFT PBE; values from VASP
&SYSTEM
  ibrav = 0, nat = 3, ntyp = 3
/
ATOMIC_SPECIES
B 10.81 B.upf
Pa 231.04 Pa.upf
U 238.03 U.upf
CELL_PARAMETERS angstrom
-1.267 1.521 -1.895
-4.008 -1.875 1.176
1.446 3.809 2.089
ATOMIC_POSITIONS crystal
B 0.665 0.333 0.667
Pa 0.168 0.667 0.333
U 0.168 0.000 0.000
! Energy above the lowest structure with this stoichiometry = 0.717 eV per atom
! Symmetry = P3m1, No. 156
! ρ = 16.02 g/cm3
! ΔE_f = 0.564 eV per atom

[5]
! Ba6Si2Sb, relaxed, DFT PBE; values from VASP
&SYSTEM
  ibrav = 0, nat = 18, ntyp = 3
/
ATOMIC_SPECIES
Ba 137.33 Ba.upf
Si 28.09 Si.upf
Sb 121.76 Sb.upf
CELL_PARAMETERS angstrom
-4.928 -8.601 0.352
9.850 -1.111 0.365
-2.474 5.460 7.903
ATOMIC_POSITIONS crystal
Ba 0.534 0.717 0.817
Ba 0.466 0.283 0.183
Ba 0.100 0.283 0.817
Ba 0.900 0.717 0.183
Ba 0.790 0.775 0.566
Ba 0.210 0.225 0.434
Ba 0.210 0.775 0.985
Ba 0.790 0.225 0.015
Ba 0.702 0.381 0.679
Ba 0.298 0.619 0.321
Ba 0.298 0.977 0.679
Ba 0.702 0.023 0.321
Si 0.500 0.396 0.896
Si 0.500 0.604 0.104
Si 0.609 0.000 0.609
Si 0.391 0.000 0.391
Sb 0.000 0.500 0.500
Sb 0.000 0.000 0.000
! Symmetry = Immm, No. 71
! ρ = 4.45 g/cm3

[6]
! Ag2WAu, relaxed, DFT PBE; values from VASP
&SYSTEM
  ibrav = 0, nat = 4, ntyp = 3
/
ATOMIC_SPECIES
Au 196.97 Au.upf
Ag 107.87 Ag.upf
W 183.84 W.upf
CELL_PARAMETERS angstrom
4.615 0.000 0.000
0.000 3.900 0.000
0.000 0.000 3.900
ATOMIC_POSITIONS crystal
Au 0.500 0.500 0.000
Ag 0.000 0.000 0.000
Ag 0.000 0.500 0.500
W 0.500 0.000 0.500
! Energy above the lowest structure with this stoichiometry = 0.468 eV per atom
! Symmetry = P4/mmm, No. 123
! ρ = 14.12 g/cm3
! ΔE_f = 0.795 eV per atom

[7]
! Y3MgN, relaxed, DFT PBE; values from VASP
&SYSTEM
  ibrav = 0, nat = 20, ntyp = 3
/
ATOMIC_SPECIES
Y 88.91 Y.upf
Mg 24.30 Mg.upf
N 14.01 N.upf
CELL_PARAMETERS angstrom
0.000 6.527 6.527
6.527 0.000 6.527
6.527 6.527 0.000
ATOMIC_POSITIONS crystal
Y 0.817 0.183 0.183
Y 0.067 0.433 0.433
Y 0.433 0.433 0.067
Y 0.433 0.067 0.067
Y 0.067 0.433 0.067
Y 0.817 0.183 0.817
Y 0.433 0.067 0.433
Y 0.067 0.067 0.433
Y 0.183 0.817 0.183
Y 0.183 0.817 0.817
Y 0.183 0.183 0.817
Y 0.817 0.817 0.183
Mg 0.625 0.625 0.625
Mg 0.625 0.125 0.625
Mg 0.125 0.625 0.625
Mg 0.625 0.625 0.125
N 0.125 0.125 0.125
N 0.125 0.625 0.125
N 0.625 0.125 0.125
N 0.125 0.125 0.625
! Energy above the lowest structure with this stoichiometry = 0.380 eV per atom
! Symmetry = Fd-3m, No. 227
! ρ = 3.64 g/cm3

[8]
! DyTh2Pb, relaxed, DFT PBE; values from VASP
&SYSTEM
  ibrav = 0, nat = 4, ntyp = 3
/
ATOMIC_SPECIES
Pb 207.20 Pb.upf
Th 232.04 Th.upf
Dy 162.50 Dy.upf
CELL_PARAMETERS angstrom
3.520 0.000 0.000
1.760 3.049 0.000
1.760 1.016 12.424
ATOMIC_POSITIONS crystal
Pb 0.000 0.000 0.000
Th 0.088 0.088 0.735
Th 0.912 0.912 0.265
Dy 0.500 0.500 0.500
! Energy above the lowest structure with this stoichiometry = 0.370 eV per atom
! Symmetry = R-3m, No. 166
! ρ = 10.38 g/cm3
! ΔE_f = 0.164 eV per atom

[9]
! KCrP3, relaxed, DFT PBE; values from VASP
&SYSTEM
  ibrav = 0, nat = 5, ntyp = 3
/
ATOMIC_SPECIES
Cr 52.00 Cr.upf
K 39.10 K.upf
P 30.97 P.upf
CELL_PARAMETERS angstrom
4.593 0.000 0.000
0.000 4.593 0.000
0.000 0.000 4.593
ATOMIC_POSITIONS crystal
Cr 0.000 0.000 0.000
K 0.500 0.500 0.500
P 0.000 0.500 0.000
P 0.000 0.000 0.500
P 0.500 0.000 0.000
! Energy above the lowest structure with this stoichiometry = 0.000 eV per atom
! Symmetry = Pm-3m, No. 221
! ρ = 3.15 g/cm3
! ΔE_f = 0.154 eV per atom

[10]
! Li2NdCu2P2, relaxed, DFT PBE; values from VASP
&SYSTEM
  ibrav = 0, nat = 7, ntyp = 4
/
ATOMIC_SPECIES
Li 6.94 Li.upf
Nd 144.24 Nd.upf
Cu 63.55 Cu.upf
P 30.97 P.upf
CELL_PARAMETERS angstrom
4.008 0.000 0.000
2.004 3.471 0.000
2.004 1.157 7.809
ATOMIC_POSITIONS crystal
Li 0.142 0.142 0.574
Li 0.858 0.858 0.426
Nd 0.000 0.000 0.000
Cu 0.573 0.573 0.280
Cu 0.427 0.427 0.720
P 0.750 0.750 0.751
P 0.250 0.250 0.249
! Symmetry = R-3m, No. 166
! ρ = 5.31 g/cm3
! ΔE_f = -0.771 eV per atom

[11]
! TiNi2Ag2, relaxed, DFT PBE; values from VASP
&SYSTEM
  ibrav = 0, nat = 10, ntyp = 3
/
ATOMIC_SPECIES
Ni 58.69 Ni.upf
Ag 107.87 Ag.upf
Ti 47.87 Ti.upf
CELL_PARAMETERS angstrom
6.153 0.000 0.000
0.000 6.153 0.000
0.000 0.000 4.005
ATOMIC_POSITIONS crystal
Ni 0.367 0.867 0.000
Ni 0.867 0.633 0.000
Ni 0.633 0.133 0.000
Ni 0.133 0.367 0.000
Ag 0.169 0.669 0.500
Ag 0.669 0.831 0.500
Ag 0.831 0.331 0.500
Ag 0.331 0.169 0.500
Ti 0.000 0.000 0.000
Ti 0.500 0.500 0.000
! Symmetry = P4/mbm, No. 127
! ρ = 8.34 g/cm3
! ΔE_f = 0.093 eV per atom

[12]
! Nd4PS2N, relaxed, DFT PBE; values from VASP
&SYSTEM
  ibrav = 0, nat = 8, ntyp = 4
/
ATOMIC_SPECIES
Nd 144.24 Nd.upf
P 30.97 P.upf
S 32.06 S.upf
N 14.01 N.upf
CELL_PARAMETERS angstrom
3.966 0.000 0.000
0.000 6.892 0.127
0.000 -2.403 6.603
ATOMIC_POSITIONS crystal
Nd 0.500 0.263 0.230
Nd 0.500 0.737 0.770
Nd 0.000 0.276 0.780
Nd 0.000 0.724 0.220
P 0.000 0.000 0.000
S 0.500 0.000 0.500
S 0.000 0.500 0.500
N 0.500 0.500 0.000
! Symmetry = P2/m, No. 10
! ρ = 6.27 g/cm3

[13]
! CuNi3Os, relaxed, DFT PBE; values from VASP
&SYSTEM
  ibrav = 0, nat = 5, ntyp = 3
/
ATOMIC_SPECIES
Ni 58.69 Ni.upf
Os 190.23 Os.upf
Cu 63.55 Cu.upf
CELL_PARAMETERS angstrom
-4.297 -1.239 0.242
0.752 -3.203 -3.039
1.013 -2.876 3.281
ATOMIC_POSITIONS crystal
Ni 0.000 0.500 0.000
Ni 0.000 0.000 0.500
Ni 0.500 0.000 0.000
Os 0.000 0.000 0.000
Cu 0.500 0.500 0.500
! Energy above the lowest structure with this stoichiometry = 0.000 eV per atom
! Symmetry = Pm-3m, No. 221
! ρ = 7.94 g/cm3
! ΔE_f = 1.486 eV per atom

no.,VASP energy (eV for the cell shown)
1,-15.410
2,-40.518
3,-29.510
4,-25.769
5,-61.415
6,-18.754
7,-124.091
8,-22.493
9,-26.178
10,-33.004
11,-49.392
12,-54.858
13,-25.242